# Tb2DyIn3PdAu2 PBE-GGA relaxed
data_Tb2DyIn3PdAu2
_chemical_formula_sum 'Tb4 Dy2 In6 Pd2 Au4'
_cell_length_a 3.933
_cell_length_b 13.471
_cell_length_c 7.782
_cell_angle_alpha 90.00
_cell_angle_beta 90.00
_cell_angle_gamma 90.00
_symmetry_space_group_name_H-M 'A m m 2'
_symmetry_Int_Tables_number 38
_symmetry_space_group_name_Hall 'A 2 -2'
loop_
_atom_site_label
_atom_site_fract_x
_atom_site_fract_y
_atom_site_fract_z
Tb1 0.000 0.203 0.000
Dy1 0.000 0.000 0.609
In1 0.500 0.000 0.948
In2 0.500 0.127 0.330
Pd1 0.000 0.000 0.204
Au1 0.500 0.166 0.703
# Magnetization ... 0.001 μB/atom
# Final energy ... -4.549 eV per atom

=====

# Tb2DyIn3Pd2Au PBE-GGA relaxed
data_Tb2DyIn3Pd2Au
_chemical_formula_sum 'Tb4 Dy2 In6 Pd4 Au2'
_cell_length_a 3.864
_cell_length_b 13.478
_cell_length_c 7.789
_cell_angle_alpha 90.00
_cell_angle_beta 90.00
_cell_angle_gamma 90.00
_symmetry_space_group_name_H-M 'A m m 2'
_symmetry_Int_Tables_number 38
_symmetry_space_group_name_Hall 'A 2 -2'
loop_
_atom_site_label
_atom_site_fract_x
_atom_site_fract_y
_atom_site_fract_z
Tb1 0.000 0.203 0.000
Dy1 0.000 0.000 0.391
In1 0.500 0.000 0.066
In2 0.500 0.134 0.663
Pd1 0.500 0.166 0.297
Au1 0.000 0.000 0.797
# Magnetization ... 0.002 μB/atom
# Final energy ... -4.747 eV per atom

=====

# Dy2TmIn3Pd2Au PBE-GGA relaxed
data_Dy2TmIn3Pd2Au
_chemical_formula_sum 'Dy4 Tm2 In6 Pd4 Au2'
_cell_length_a 3.801
_cell_length_b 13.475
_cell_length_c 7.801
_cell_angle_alpha 90.00
_cell_angle_beta 90.00
_cell_angle_gamma 90.00
_symmetry_space_group_name_H-M 'A m m 2'
_symmetry_Int_Tables_number 38
_symmetry_space_group_name_Hall 'A 2 -2'
loop_
_atom_site_label
_atom_site_fract_x
_atom_site_fract_y
_atom_site_fract_z
Dy1 0.000 0.203 0.000
Tm1 0.000 0.000 0.608
In1 0.500 0.000 0.933
In2 0.500 0.135 0.338
Pd1 0.500 0.165 0.702
Au1 0.000 0.000 0.204
# Magnetization ... 0.001 μB/atom
# Final energy ... -4.722 eV per atom

=====

# Dy2TmIn3PdAu2 PBE-GGA relaxed
data_Dy2TmIn3PdAu2
_chemical_formula_sum 'Dy4 Tm2 In6 Pd2 Au4'
_cell_length_a 3.894
_cell_length_b 13.407
_cell_length_c 7.767
_cell_angle_alpha 90.00
_cell_angle_beta 90.00
_cell_angle_gamma 90.00
_symmetry_space_group_name_H-M 'A m m 2'
_symmetry_Int_Tables_number 38
_symmetry_space_group_name_Hall 'A 2 -2'
loop_
_atom_site_label
_atom_site_fract_x
_atom_site_fract_y
_atom_site_fract_z
Dy1 0.000 0.203 0.000
Tm1 0.000 0.000 0.393
In1 0.500 0.000 0.053
In2 0.500 0.128 0.669
Pd1 0.000 0.000 0.795
Au1 0.500 0.165 0.298
# Magnetization ... 0.001 μB/atom
# Final energy ... -4.524 eV per atom

=====

# DyY2In3Pd2Au PBE-GGA relaxed
data_DyY2In3Pd2Au
_chemical_formula_sum 'Dy2 Y4 In6 Pd4 Au2'
_cell_length_a 3.825
_cell_length_b 13.518
_cell_length_c 7.815
_cell_angle_alpha 90.00
_cell_angle_beta 90.00
_cell_angle_gamma 90.00
_symmetry_space_group_name_H-M 'A m m 2'
_symmetry_Int_Tables_number 38
_symmetry_space_group_name_Hall 'A 2 -2'
loop_
_atom_site_label
_atom_site_fract_x
_atom_site_fract_y
_atom_site_fract_z
Dy1 0.000 0.000 0.000
Y1 0.000 0.203 0.609
In1 0.500 0.000 0.675
In2 0.500 0.135 0.271
Pd1 0.500 0.166 0.907
Au1 0.000 0.000 0.406
# Magnetization ... 0.002 μB/atom
# Final energy ... -5.160 eV per atom

=====

# PrDy2In3PtAu2 PBE-GGA relaxed
data_PrDy2In3PtAu2
_chemical_formula_sum 'Pr2 Dy4 In6 Pt2 Au4'
_cell_length_a 4.003
_cell_length_b 13.500
_cell_length_c 7.749
_cell_angle_alpha 90.00
_cell_angle_beta 90.00
_cell_angle_gamma 90.00
_symmetry_space_group_name_H-M 'A m m 2'
_symmetry_Int_Tables_number 38
_symmetry_space_group_name_Hall 'A 2 -2'
loop_
_atom_site_label
_atom_site_fract_x
_atom_site_fract_y
_atom_site_fract_z
Pr1 0.000 0.000 0.000
Dy1 0.000 0.200 0.603
In1 0.500 0.000 0.656
In2 0.500 0.129 0.278
Pt1 0.000 0.000 0.408
Au1 0.500 0.171 0.901
# Magnetization ... 0.001 μB/atom
# Final energy ... -4.684 eV per atom